The following is a DFT calculation (PBE-GGA) of TaFeAs after structural relaxation.

a = 5.426 Å, b = 5.427 Å, c = 2.917 Å
α = 74.40°, β = 74.42°, γ = 31.18°
Positions (direct):
1 As 0.977 0.977 0.023
2 Fe 0.354 0.354 0.646
3 Ta 0.668 0.668 0.332

Calculated values
Energy relative to the elements: -5 kJ/mol of atoms
Space group: I4mm, No. 107
Crystal system: tetragonal
Energy: -8.377 eV/atom
M_tot: 0.0000 μB/atom